This record from the Alexandria database describes a relaxed TbHoCuPt crystal. The functional is GGA-PBE.

Structure (extended XYZ):
```
4
Lattice="0.0000 3.4815 3.4815 3.4815 0.0000 3.4815 3.4815 3.4815 0.0000" Properties=species:S:1:pos:R:3 pbc="T T T"
Tb 0.0000 0.0000 0.0000
Ho 3.4815 3.4815 3.4815
Cu 5.2222 5.2222 5.2222
Pt 1.7407 1.7407 1.7407
```

Output
- Relative energy among the computed polymorphs: 37 meV per atom
- DFT formation energy: -0.7714 eV/atom
- Electronic total energy: -5.6077 eV/atom
- Fermi-level density of states: 0.61 states/eV per atom